[1]
Tc2PRu | GGA-PBE | relaxed

a = 2.8639 Å, b = 3.9102 Å, c = 4.9717 Å
α = 90.00°, β = 90.00°, γ = 90.00°
With the nearest neighbours (Å) after each atom.
Atoms (fractional coordinates):
Tc1 0.0000 0.0000 0.2433  2 Tc 2.42-2.55, 4 P 2.71
Tc2 0.0000 0.0000 0.7567  2 Tc 2.42-2.55, 4 P 2.71
P1 0.5000 0.5000 0.0000  2 Ru 2.49, 8 Tc 2.71
Ru1 0.5000 0.5000 0.5000  2 P 2.49, 8 Tc 2.74

[2]
AlCu2Tc | GGA-PBE | relaxed

a = 2.6310 Å, b = 4.2632 Å, c = 4.8358 Å
α = 90.00°, β = 99.26°, γ = 90.00°
With the nearest neighbours (Å) after each atom.
Atoms (fractional coordinates):
Al1 0.0000 0.0000 0.0000  4 Cu 2.52, 2 Tc 2.56, 2 Al 2.63
Cu1 0.1740 0.5000 0.7517  5 Cu 2.46-2.72, 2 Al 2.52, 2 Tc 2.66
Cu2 0.8260 0.5000 0.2483  5 Cu 2.46-2.72, 2 Al 2.52, 2 Tc 2.66
Tc1 0.5000 0.0000 0.5000  2 Al 2.56, 2 Tc 2.63, 4 Cu 2.66

[3]
Na2PuNiS4 | GGA-PBE | relaxed

Calculated values
E_form (uncorrected) = -1.002 eV per atom

a = 6.2232 Å, b = 3.8681 Å, c = 7.0634 Å
α = 90.00°, β = 108.40°, γ = 90.00°
With the nearest neighbours (Å) after each atom.
Atoms (fractional coordinates):
Na1 0.0000 0.0000 0.0000  6 S 2.91-2.96
Na2 0.5000 0.5000 0.0000  6 S 2.82-2.83
Pu1 0.0000 0.5000 0.5000  6 S 2.60-2.68
Ni1 0.5000 0.0000 0.5000  6 S 2.49-2.55
S1 0.2579 0.0000 0.7205  1 Ni 2.49, 2 Pu 2.68
S2 0.2793 0.5000 0.2922  2 Ni 2.55, 1 Pu 2.60, 1 Na 2.82
S3 0.7207 0.5000 0.7078  2 Ni 2.55, 1 Pu 2.60, 1 Na 2.82
S4 0.7421 0.0000 0.2795  1 Ni 2.49, 2 Pu 2.68

[4]
Nd2InGe2 | GGA-PBE | relaxed

a = 7.6095 Å, b = 7.6095 Å, c = 4.3343 Å
α = 90.00°, β = 90.00°, γ = 90.00°
With the nearest neighbours (Å) after each atom.
Atoms (fractional coordinates):
Nd1 0.1799 0.3201 0.0000  6 Ge 3.07-3.17
Nd2 0.3201 0.8201 0.0000  6 Ge 3.07-3.17
Nd3 0.6799 0.1799 0.0000  6 Ge 3.07-3.17
Nd4 0.8201 0.6799 0.0000  6 Ge 3.07-3.17
In1 0.0000 0.0000 0.5000  4 Ge 3.04
In2 0.5000 0.5000 0.5000  4 Ge 3.04
Ge1 0.1180 0.6180 0.5000  1 Ge 2.54
Ge2 0.3820 0.1180 0.5000  1 Ge 2.54
Ge3 0.6180 0.8820 0.5000  1 Ge 2.54
Ge4 0.8820 0.3820 0.5000  1 Ge 2.54

Summary of raw total energy in eV/f.u.
-35.177 -22.254 -47.280 -25.192
(order as listed above)